A geometry-optimized Ca4TlRu structure. Source: Alexandria, functional PBE.

a = 8.747 Å, b = 8.747 Å, c = 8.747 Å
α = 90.00°, β = 90.00°, γ = 90.00°
Space group F-43m (No. 216)
Symmetry-distinct sites (fractional):
Ca 0.124 0.124 0.124
Tl 0.000 0.000 0.500
Ru 0.250 0.250 0.750

A geometry-optimized Ca2TlRu structure. Source: Alexandria, functional PBE.

a = 3.5085 Å, b = 3.5085 Å, c = 28.8677 Å
α = 90.00°, β = 90.00°, γ = 120.00°
Space group R-3m (No. 166, hexagonal axes)
Symmetry-distinct sites (fractional):
Ca 0.0000 0.0000 0.2362
Tl 0.0000 0.0000 0.0000
Ru 0.0000 0.0000 0.5000

A geometry-optimized Ca2TlRu structure. Source: Alexandria, functional PBE.

a = 3.605 Å, b = 3.605 Å, c = 8.160 Å
α = 90.00°, β = 90.00°, γ = 90.00°
Space group P4mm (No. 99)
Symmetry-distinct sites (fractional):
Ca 0.000 0.000 0.000
Ca 0.500 0.500 0.387
Tl 0.500 0.500 0.761
Ru 0.000 0.000 0.603

A geometry-optimized CaTl3Ru structure. Source: Alexandria, functional PBE.

a = 5.762 Å, b = 5.762 Å, c = 5.762 Å
α = 90.00°, β = 90.00°, γ = 90.00°
Space group Pm-3m (No. 221)
Symmetry-distinct sites (fractional):
Ca 0.000 0.000 0.000
Tl 0.000 0.000 0.500
Ru 0.500 0.500 0.500

A geometry-optimized Ca2Tl2Ru structure. Source: Alexandria, functional PBE.

a = 7.305 Å, b = 7.305 Å, c = 4.953 Å
α = 90.00°, β = 90.00°, γ = 90.00°
Space group P4/mbm (No. 127)
Symmetry-distinct sites (fractional):
Ca 0.177 0.323 0.000
Tl 0.146 0.646 0.500
Ru 0.000 0.000 0.500

A geometry-optimized Ca2TlRu structure. Source: Alexandria, functional PBE.

a = 9.769 Å, b = 9.769 Å, c = 5.397 Å
α = 90.00°, β = 90.00°, γ = 90.00°
Space group I-42d (No. 122)
Symmetry-distinct sites (fractional):
Ca 0.107 0.250 0.125
Tl 0.000 0.000 0.500
Ru 0.000 0.000 0.000

| no. | total energy (eV per cell) | DFT formation energy (eV/atom) |
| --- | --- | --- |
| 1 | -61.3 | 0.721 |
| 2 | -44.8 | 0.179 |
| 3 | -15.3 | 0.097 |
| 4 | -11.5 | 1.381 |
| 5 | -35.2 | 0.080 |
| 6 | -59.3 | 0.205 |